1.
Ta2TlCo | PBE | optimized geometry

Geometry as extended XYZ:
```
4
Lattice="1.6012 -1.3145 4.1362 -2.2017 -3.2897 2.3937 1.9317 -4.1719 0.5132" Properties=species:S:1:pos:R:3 pbc="T T T"
Tl 0.6656 -4.3881 3.5215
Co 0.0000 0.0000 0.0000
Ta 0.3328 -2.1940 1.7608
Ta 0.9984 -6.5821 5.2823
```

Output
Total energy (eV per atom): -7.675
Energy relative to the lowest polymorph listed for this composition (eV/f.u.): 1.575
Formation enthalpy at 0 K (eV/atom): 0.62
Size of the total moment (μB/f.u.): 1.75

2.
Ta2TlCo | PBE | optimized geometry

Geometry as extended XYZ:
```
4
Lattice="-3.5287 0.4731 3.7524 -1.2481 -4.5073 2.2097 4.4671 2.3776 -1.0718" Properties=species:S:1:pos:R:3 pbc="T T T"
Co -0.7250 0.4168 2.8309
Ta 0.0000 0.0000 0.0000
Ta 0.4153 -2.0734 2.0595
Tl -2.3884 -2.0171 2.9811
```

Output
Total energy (eV per atom): -7.811
Energy relative to the lowest polymorph listed for this composition (eV/f.u.): 1.032
Formation enthalpy at 0 K (eV/atom): 0.48
Size of the total moment (μB/f.u.): 1.86

3.
TaTl2Co | PBE | optimized geometry

Geometry as extended XYZ:
```
4
Lattice="-0.1765 1.5704 -3.8508 2.1710 -3.3661 -1.4722 -3.6695 -2.0709 -0.6763" Properties=species:S:1:pos:R:3 pbc="T T T"
Co 0.9972 -0.8979 -2.6615
Ta -1.9230 -0.2503 -2.2635
Tl 0.0000 0.0000 0.0000
Tl -0.7493 -2.7185 -1.0743
```

Output
Total energy (eV per atom): -5.201
Formation enthalpy at 0 K (eV/atom): 0.72
Size of the total moment (μB/f.u.): 1.42

4.
TaTl2Co | PBE | optimized geometry

Geometry as extended XYZ:
```
4
Lattice="5.6579 0.0101 0.0212 4.8241 2.9563 0.0212 2.3957 0.6780 4.6057" Properties=species:S:1:pos:R:3 pbc="T T T"
Co 9.6584 2.7333 3.4861
Ta 3.2195 0.9111 1.1620
Tl 2.5989 0.7355 4.4916
Tl 6.2358 1.7647 2.4382
```

Output
Total energy (eV per atom): -5.238
Formation enthalpy at 0 K (eV/atom): 0.68
Size of the total moment (μB/f.u.): 0.71

5.
Ta3TlCo | PBE | optimized geometry

Geometry as extended XYZ:
```
5
Lattice="-2.3908 3.0239 3.2254 -4.4116 -1.3899 -1.9670 -0.2915 -3.7666 3.3153" Properties=species:S:1:pos:R:3 pbc="T T T"
Tl 0.0000 0.0000 0.0000
Co -3.5469 -1.0663 2.2869
Ta -2.2058 -0.6949 -0.9835
Ta -0.1457 -1.8833 1.6576
Ta -1.1954 1.5120 1.6127
```

Output
Total energy (eV per atom): -6.131
Energy relative to the lowest polymorph listed for this composition (eV/f.u.): 10.903
Formation enthalpy at 0 K (eV/atom): 2.88
Size of the total moment (μB/f.u.): 0.00

6.
Ta2TlCo | PBE | optimized geometry

Geometry as extended XYZ:
```
4
Lattice="-3.4246 2.1588 2.9150 -2.1868 -2.8618 -3.4517 0.1093 -2.3380 1.8649" Properties=species:S:1:pos:R:3 pbc="T T T"
Co -1.0387 -2.5999 -0.7934
Ta 0.0000 0.0000 0.0000
Ta -2.8057 -0.3515 -0.2683
Tl -1.6577 -0.0896 2.3900
```

Output
Total energy (eV per atom): -7.845
Energy relative to the lowest polymorph listed for this composition (eV/f.u.): 0.896
Formation enthalpy at 0 K (eV/atom): 0.45
Size of the total moment (μB/f.u.): 1.34

7.
TaTl2Co | PBE | optimized geometry

Geometry as extended XYZ:
```
4
Lattice="-2.7068 -3.4886 3.0253 2.1090 -0.7534 4.8615 -1.3367 4.2981 -2.8965" Properties=species:S:1:pos:R:3 pbc="T T T"
Co -0.2989 -2.1210 3.9434
Ta -2.1713 -0.6558 2.0361
Tl 0.0000 0.0000 0.0000
Tl 0.2366 0.7118 2.9542
```

Output
Total energy (eV per atom): -5.151
Formation enthalpy at 0 K (eV/atom): 0.77
Size of the total moment (μB/f.u.): 0.79

8.
TaTl2Co | PBE | optimized geometry

Geometry as extended XYZ:
```
4
Lattice="3.1840 0.0000 0.0000 0.0000 3.1847 0.0000 0.0000 0.0000 8.3557" Properties=species:S:1:pos:R:3 pbc="T T T"
Co 0.0000 0.0000 4.6418
Ta 1.5920 1.5923 5.7174
Tl 0.0000 0.0000 8.0319
Tl 1.5920 1.5923 2.4980
```

Output
Total energy (eV per atom): -5.612
Formation enthalpy at 0 K (eV/atom): 0.31
Size of the total moment (μB/f.u.): 0.00